Entry from the Alexandria database: KY3Pd after structural relaxation (GGA-PBE).

Calculated values
The crystal system is cubic. As for the energy of formation: -0.1 eV per formula unit. The value obtained for the energy above the lowest structure with this stoichiometry is 0 meV per atom. Its total energy is -5.161 eV/atom.

Unit cell a=5.617 b=5.617 c=5.617 alpha=90.00 beta=90.00 gamma=90.00
Space group Pm-3m (No. 221)
Asymmetric unit:
K  0.000  0.000  0.000 (multiplicity 1)
Y  0.000  0.500  0.500 (multiplicity 3)
Pd  0.500  0.500  0.500 (multiplicity 1)

=====

Entry from the Alexandria database: KY2Pd2 after structural relaxation (GGA-PBE).

Calculated values
The crystal system is tetragonal. As for the energy of formation: -1.9 eV per formula unit. Its total energy is -5.262 eV/atom.

Unit cell a=4.919 b=4.919 c=11.712 alpha=90.00 beta=90.00 gamma=90.00
Space group I4/mmm (No. 139)
Asymmetric unit:
K  0.000  0.000  0.000 (multiplicity 2)
Y  0.000  0.500  0.250 (multiplicity 4)
Pd  0.000  0.000  0.382 (multiplicity 4)

=====

Entry from the Alexandria database: KZn3Pd2 after structural relaxation (GGA-PBE).

Calculated values
The crystal system is orthorhombic. As for the energy of formation: -2.1 eV per formula unit. Its total energy is -2.900 eV/atom.

Unit cell a=10.737 b=8.163 c=5.670 alpha=90.00 beta=90.00 gamma=90.00
Space group Cmcm (No. 63)
Asymmetric unit:
K  0.000  0.145  0.250 (multiplicity 4)
Zn  0.000  0.442  0.750 (multiplicity 4)
Zn  0.211  0.234  0.750 (multiplicity 8)
Pd  0.197  0.500  0.000 (multiplicity 8)

=====

Entry from the Alexandria database: KZn3Pd after structural relaxation (GGA-PBE).

Calculated values
The crystal system is cubic. As for the energy of formation: -0.8 eV per formula unit. The value obtained for the energy above the lowest structure with this stoichiometry is 0 meV per atom. Its total energy is -2.182 eV/atom.

Unit cell a=4.953 b=4.953 c=4.953 alpha=90.00 beta=90.00 gamma=90.00
Space group Pm-3m (No. 221)
Asymmetric unit:
K  0.000  0.000  0.000 (multiplicity 1)
Zn  0.000  0.500  0.500 (multiplicity 3)
Pd  0.500  0.500  0.500 (multiplicity 1)

=====

Entry from the Alexandria database: KZn2Pd after structural relaxation (GGA-PBE).

Calculated values
The crystal system is cubic. As for the energy of formation: 0.6 eV per formula unit. The value obtained for the energy above the lowest structure with this stoichiometry is 201 meV per atom. Its total energy is -2.061 eV/atom.

Unit cell a=6.894 b=6.894 c=6.894 alpha=90.00 beta=90.00 gamma=90.00
Space group Fm-3m (No. 225)
Asymmetric unit:
K  0.000  0.000  0.000 (multiplicity 4)
Zn  0.250  0.250  0.250 (multiplicity 8)
Pd  0.000  0.000  0.500 (multiplicity 4)

=====

Entry from the Alexandria database: KZnPd3 after structural relaxation (GGA-PBE).

Calculated values
The crystal system is cubic. As for the energy of formation: 0.7 eV per formula unit. The value obtained for the energy above the lowest structure with this stoichiometry is 0 meV per atom. Its total energy is -3.440 eV/atom.

Unit cell a=4.807 b=4.807 c=4.807 alpha=90.00 beta=90.00 gamma=90.00
Space group Pm-3m (No. 221)
Asymmetric unit:
K  0.000  0.000  0.000 (multiplicity 1)
Zn  0.500  0.500  0.500 (multiplicity 1)
Pd  0.000  0.500  0.500 (multiplicity 3)

=====

Entry from the Alexandria database: KZnPd after structural relaxation (GGA-PBE).

Calculated values
The crystal system is monoclinic. As for the energy of formation: -0.4 eV per formula unit. The value obtained for the energy above the lowest structure with this stoichiometry is 0 meV per atom. Its total energy is -2.660 eV/atom.

Unit cell a=8.356 b=3.791 c=10.982 alpha=90.00 beta=98.79 gamma=90.00
Space group C2/m (No. 12)
Asymmetric unit:
K  0.177  0.000  0.186 (multiplicity 4)
Zn  0.136  0.500  0.454 (multiplicity 4)
Pd  0.085  0.000  0.617 (multiplicity 4)

=====

Entry from the Alexandria database: K3ZnPd after structural relaxation (GGA-PBE).

Calculated values
The crystal system is cubic. As for the energy of formation: 1.1 eV per formula unit. The value obtained for the energy above the lowest structure with this stoichiometry is 0 meV per atom. Its total energy is -1.737 eV/atom.

Unit cell a=6.209 b=6.209 c=6.209 alpha=90.00 beta=90.00 gamma=90.00
Space group Pm-3m (No. 221)
Asymmetric unit:
K  0.000  0.000  0.500 (multiplicity 3)
Zn  0.500  0.500  0.500 (multiplicity 1)
Pd  0.000  0.000  0.000 (multiplicity 1)

=====

Entry from the Alexandria database: KZn3Pd after structural relaxation (GGA-PBE).

Calculated values
The crystal system is cubic. As for the energy of formation: 5.9 eV per formula unit. The value obtained for the energy above the lowest structure with this stoichiometry is 1344 meV per atom. Its total energy is -0.838 eV/atom.

Unit cell a=5.856 b=5.856 c=5.856 alpha=90.00 beta=90.00 gamma=90.00
Space group Pm-3m (No. 221)
Asymmetric unit:
K  0.000  0.000  0.000 (multiplicity 1)
Zn  0.000  0.000  0.500 (multiplicity 3)
Pd  0.500  0.500  0.500 (multiplicity 1)

=====

Entry from the Alexandria database: KZnPd3 after structural relaxation (GGA-PBE).

Calculated values
The crystal system is cubic. As for the energy of formation: 6.6 eV per formula unit. The value obtained for the energy above the lowest structure with this stoichiometry is 1167 meV per atom. Its total energy is -2.273 eV/atom.

Unit cell a=4.983 b=4.983 c=4.983 alpha=90.00 beta=90.00 gamma=90.00
Space group Pm-3m (No. 221)
Asymmetric unit:
K  0.000  0.000  0.000 (multiplicity 1)
Zn  0.500  0.500  0.500 (multiplicity 1)
Pd  0.000  0.000  0.500 (multiplicity 3)

=====

Entry from the Alexandria database: KZnPd after structural relaxation (GGA-PBE).

Calculated values
The crystal system is hexagonal. As for the energy of formation: -0.3 eV per formula unit. The value obtained for the energy above the lowest structure with this stoichiometry is 25 meV per atom. Its total energy is -2.635 eV/atom.

Unit cell a=4.3335 b=4.3335 c=5.0239 alpha=90.00 beta=90.00 gamma=120.00
Space group P-6m2 (No. 187)
Asymmetric unit:
K  0.0000  0.0000  0.0000 (multiplicity 1)
Zn  0.6667  0.3333  0.5000 (multiplicity 1)
Pd  0.3333  0.6667  0.5000 (multiplicity 1)

=====

Entry from the Alexandria database: KZnPd2 after structural relaxation (GGA-PBE).

Calculated values
The crystal system is tetragonal. As for the energy of formation: 0.2 eV per formula unit. Its total energy is -3.142 eV/atom.

Unit cell a=5.107 b=5.107 c=17.017 alpha=90.00 beta=90.00 gamma=90.00
Space group I-42d (No. 122)
Asymmetric unit:
K  0.000  0.000  0.000 (multiplicity 4)
Zn  0.000  0.000  0.500 (multiplicity 4)
Pd  0.059  0.250  0.625 (multiplicity 8)

=====

Entry from the Alexandria database: KZn2Pd after structural relaxation (GGA-PBE).

Calculated values
The crystal system is tetragonal. As for the energy of formation: -0.2 eV per formula unit. The value obtained for the energy above the lowest structure with this stoichiometry is 0 meV per atom. Its total energy is -2.262 eV/atom.

Unit cell a=5.129 b=5.129 c=17.146 alpha=90.00 beta=90.00 gamma=90.00
Space group I4_1/amd (No. 141, origin choice 2)
Asymmetric unit:
K  0.000  0.250  0.375 (multiplicity 4)
Zn  0.000  0.000  0.000 (multiplicity 8)
Pd  0.000  0.250  0.875 (multiplicity 4)

=====

Entry from the Alexandria database: KZrPd2 after structural relaxation (GGA-PBE).

Calculated values
The crystal system is cubic. As for the energy of formation: 0.4 eV per formula unit. The value obtained for the energy above the lowest structure with this stoichiometry is 0 meV per atom. Its total energy is -4.909 eV/atom.

Unit cell a=6.923 b=6.923 c=6.923 alpha=90.00 beta=90.00 gamma=90.00
Space group Fm-3m (No. 225)
Asymmetric unit:
K  0.000  0.000  0.000 (multiplicity 4)
Zr  0.000  0.000  0.500 (multiplicity 4)
Pd  0.250  0.250  0.250 (multiplicity 8)